Material: TaNbTlNi
Method: DFT, PBE
State: relaxed

SG: F-43m
Calculated total energy, Ry per atom: -0.5120

Lattice parameters (Å, degrees): 4.638 4.638 4.638 60.00 60.00 60.00
Positions (direct):
Ni 0.750 0.750 0.750
Nb 0.250 0.250 0.250
Ta 0.500 0.500 0.500
Tl 0.000 0.000 0.000

***

Material: TbNbNi
Method: DFT, PBE
State: relaxed

Energy of formation, eV per atom: 0.339
SG: F-43m

Lattice parameters (Å, degrees): 4.456 4.456 4.456 60.00 60.00 60.00
Positions (direct):
Tb 0.750 0.750 0.750
Ni 0.000 0.000 0.000
Nb 0.250 0.250 0.250

***

Material: NbTc2Ni2
Method: DFT, PBE
State: relaxed

Energy of formation, eV per atom: 0.381
SG: P6_3/mmc

Lattice parameters (Å, degrees): 3.793 3.793 12.682 90.00 90.00 120.00
Positions (direct):
Ni 0.333 0.667 0.846
Tc 0.667 0.333 0.542
Ni 0.667 0.333 0.154
Nb 0.000 0.000 0.750
Nb 0.000 0.000 0.250
Ni 0.667 0.333 0.346
Tc 0.333 0.667 0.458
Ni 0.333 0.667 0.654
Tc 0.667 0.333 0.958
Tc 0.333 0.667 0.042

***

Material: NbTc2Ni
Method: DFT, PBE
State: relaxed

Energy of formation, eV per atom: 0.055
SG: F-43m

Lattice parameters (Å, degrees): 4.362 4.362 4.362 60.00 60.00 60.00
Positions (direct):
Tc 0.500 0.500 0.500
Ni 0.000 0.000 0.000
Tc 0.750 0.750 0.750
Nb 0.250 0.250 0.250

***

Material: NbTcNi2
Method: DFT, PBE
State: relaxed

Energy of formation, eV per atom: 0.054
SG: F-43m

Lattice parameters (Å, degrees): 4.270 4.270 4.270 60.00 60.00 60.00
Positions (direct):
Nb 0.000 0.000 0.000
Ni 0.500 0.500 0.500
Ni 0.250 0.250 0.250
Tc 0.750 0.750 0.750

***

Material: Nb3TcNi
Method: DFT, PBE
State: relaxed

Energy of formation, eV per atom: 0.469
SG: Cmmm

Lattice parameters (Å, degrees): 2.620 15.007 15.007 17.31 90.00 90.00
Positions (direct):
Nb 0.000 0.453 0.453
Nb 0.500 0.096 0.096
Ni 0.000 0.816 0.816
Ni 0.000 0.187 0.187
Tc 0.500 0.641 0.641
Tc 0.500 0.362 0.362
Nb 0.500 0.277 0.277
Nb 0.500 0.726 0.726
Nb 0.000 0.551 0.551
Nb 0.500 0.907 0.907